# 1
HgP2: relaxed, PBE-GGA.

It has space group C2/m (No. 12), with a = 7.236 Å, b = 4.139 Å, c = 5.272 Å, α = 90.00°, β = 115.34° and γ = 90.00°. The inequivalent atoms are Hg at (0.000, 0.000, 0.000) and P at (0.072, 0.500, 0.712).

The calculation puts the magnetization at 0.0 μB/cell. The theoretical density comes out at 6.11 g/cm³. The calculation puts the density of states at the Fermi level at 1.4 states/eV/cell. The calculation puts the formation energy at 1.0 eV per formula unit.


# 2
Pm5GaSi2: relaxed, PBE-GGA.

It has space group I4/mcm (No. 140), with a = 7.766 Å, b = 7.766 Å, c = 14.185 Å, α = 90.00°, β = 90.00° and γ = 90.00°. The inequivalent atoms are Pm at (0.000, 0.000, 0.000), Pm at (0.178, 0.322, 0.143), Ga at (0.000, 0.000, 0.250) and Si at (0.116, 0.384, 0.500).

The calculation puts the magnetization at 0.0 μB/cell. The theoretical density comes out at 6.61 g/cm³. The uncorrected formation energy is -4.57 eV per formula unit. The calculation puts the density of states at the Fermi level at 26.3 states/eV/cell.


# 3
Ce2ThMn: relaxed, PBE-GGA.

It has space group P4/mmm (No. 123), with a = 3.492 Å, b = 3.492 Å, c = 8.170 Å, α = 90.00°, β = 90.00° and γ = 90.00°. The inequivalent atoms are Ce at (0.000, 0.000, 0.209), Th at (0.500, 0.500, 0.500) and Mn at (0.500, 0.500, 0.000).

The calculation puts the magnetization at 1.6 μB/cell. The theoretical density comes out at 9.45 g/cm³. The calculation puts the density of states at the Fermi level at 9.3 states/eV/cell. The calculation puts the formation energy at 0.6 eV per formula unit.


# 4
LaBeGe3: relaxed, PBE-GGA.

It has space group P6_3/mmc (No. 194), with a = 5.3585 Å, b = 5.3585 Å, c = 8.5871 Å, α = 90.00°, β = 90.00° and γ = 120.00°. The inequivalent atoms are La at (0.3333, 0.6667, 0.2500), Be at (0.0000, 0.0000, 0.0000), Ge at (0.0000, 0.0000, 0.2500) and Ge at (0.3333, 0.6667, 0.6018).

The calculation puts the magnetization at 0.0 μB/cell. The theoretical density comes out at 5.69 g/cm³. The calculation puts the density of states at the Fermi level at 8.2 states/eV/cell. The calculation puts the formation energy at 0.2 eV per formula unit.


# 5
Rb2Sm4S3O2: relaxed, PBE-GGA.

It has space group I4/mmm (No. 139), with a = 4.672 Å, b = 4.672 Å, c = 24.658 Å, α = 90.00°, β = 90.00° and γ = 90.00°. The inequivalent atoms are Rb at (0.000, 0.000, 0.202), Sm at (0.000, 0.500, 0.072), S at (0.000, 0.000, 0.350), S at (0.000, 0.000, 0.500) and O at (0.000, 0.000, 0.091).

The calculation puts the magnetization at 0.0 μB/cell. The theoretical density comes out at 5.56 g/cm³. The uncorrected formation energy is -20.25 eV per formula unit. The calculation puts the density of states at the Fermi level at 8.5 states/eV/cell.


# 6
Pa2TlSnO8: relaxed, PBE-GGA.

It has space group Cmmm (No. 65), with a = 7.112 Å, b = 7.211 Å, c = 7.202 Å, α = 90.00°, β = 90.00° and γ = 90.00°. The inequivalent atoms are Pa at (0.000, 0.000, 0.246), Tl at (0.000, 0.500, 0.500), Sn at (0.000, 0.500, 0.000), O at (0.000, 0.173, 0.500), O at (0.000, 0.194, 0.000) and O at (0.201, 0.500, 0.211).

The calculation puts the magnetization at 0.0 μB/cell. The theoretical density comes out at 8.21 g/cm³. The uncorrected formation energy is -30.23 eV per formula unit. The calculation puts the density of states at the Fermi level at 4.6 states/eV/cell.


# 7
Pr3Er8: relaxed, PBE-GGA.

It has space group R-3 (No. 148, hexagonal axes), with a = 10.3051 Å, b = 10.3051 Å, c = 12.1623 Å, α = 90.00°, β = 90.00° and γ = 120.00°. The inequivalent atoms are Pr at (0.0000, 0.5000, 0.0000), Er at (0.0000, 0.0000, 0.3483) and Er at (0.0029, 0.1936, 0.8887).

The calculation puts the magnetization at 0.0 μB/cell. The theoretical density comes out at 7.84 g/cm³. The calculation puts the density of states at the Fermi level at 62.5 states/eV/cell. The calculation puts the formation energy at 6.2 eV per formula unit.


# 8
CaNiAu: relaxed, PBE-GGA.

It has space group F-43m (No. 216), with a = 6.325 Å, b = 6.325 Å, c = 6.325 Å, α = 90.00°, β = 90.00° and γ = 90.00°. The inequivalent atoms are Ca at (0.000, 0.000, 0.000), Ni at (0.250, 0.250, 0.750) and Au at (0.000, 0.000, 0.500).

The calculation puts the magnetization at 0.0 μB/cell. The theoretical density comes out at 7.76 g/cm³. The calculation puts the density of states at the Fermi level at 8.6 states/eV/cell. The calculation puts the formation energy at -0.6 eV per formula unit.